The following is a DFT calculation (GGA-PBE) of an optimized crystal structure of Pr4BrN3.

Calculated values
- formation energy without anion corrections (eV per atom) = -1.344
- magnetization (μB/f.u.) = 0.00
- space-group type = P6_3/mmc
- uncorrected energy (eV per atom) = -7.06

Cell: 3.7302 3.7302 26.9115 Å, 90.00 90.00 120.00°
Closest atoms and distances in Å follow each position.
Positions (direct):
Pr 0.0000 0.0000 0.1597  3 N 2.45
Pr 0.0000 0.0000 0.3403  3 N 2.45
Pr 0.0000 0.0000 0.6597  3 N 2.45
Pr 0.0000 0.0000 0.8403  3 N 2.45
Pr 0.3333 0.6667 0.0533  6 N 2.59-2.74
Pr 0.3333 0.6667 0.4467  6 N 2.59-2.74
Pr 0.6667 0.3333 0.5533  6 N 2.59-2.74
Pr 0.6667 0.3333 0.9467  6 N 2.59-2.74
Br 0.3333 0.6667 0.2500  6 Pr 3.25
Br 0.6667 0.3333 0.7500  6 Pr 3.25
N 0.0000 0.0000 0.0000  6 Pr 2.59
N 0.0000 0.0000 0.5000  6 Pr 2.59
N 0.3333 0.6667 0.6160  6 Pr 2.45-2.74
N 0.3333 0.6667 0.8840  6 Pr 2.45-2.74
N 0.6667 0.3333 0.1160  6 Pr 2.45-2.74
N 0.6667 0.3333 0.3840  6 Pr 2.45-2.74